Density functional theory data (PBE) for a relaxed Na6LiHg10 crystal.

Values from the calculation:
As for the total energy: -0.95 eV/atom. The calculation puts the mass density at 8.077 Mg/m³.

Lattice parameters (Å, degrees): 9.1483 9.1483 6.1011 90.00 90.00 120.00
Atoms (fractional coordinates):
Na  0.0000  0.3897  0.2702
Na  0.0000  0.6103  0.7298
Na  0.3897  0.0000  0.2702
Na  0.3897  0.3897  0.7298
Na  0.6103  0.0000  0.7298
Na  0.6103  0.6103  0.2702
Li  0.0000  0.0000  0.5000
Hg  0.0000  0.2441  0.7930
Hg  0.0000  0.7559  0.2070
Hg  0.2441  0.0000  0.7930
Hg  0.2441  0.2441  0.2070
Hg  0.3333  0.6667  0.0000
Hg  0.3333  0.6667  0.5000
Hg  0.6667  0.3333  0.0000
Hg  0.6667  0.3333  0.5000
Hg  0.7559  0.0000  0.2070
Hg  0.7559  0.7559  0.7930

---

Density functional theory data (PBE) for a relaxed ZrFeCuSn crystal.

Values from the calculation:
As for the total energy: -6.44 eV/atom. The calculation puts the mass density at 8.347 Mg/m³.

Lattice parameters (Å, degrees): 6.3994 6.3994 6.3994 90.00 90.00 90.00
Atoms (fractional coordinates):
Zr  0.0000  0.0000  0.0000
Zr  0.0000  0.5000  0.5000
Zr  0.5000  0.0000  0.5000
Zr  0.5000  0.5000  0.0000
Fe  0.2500  0.2500  0.7500
Fe  0.2500  0.7500  0.2500
Fe  0.7500  0.2500  0.2500
Fe  0.7500  0.7500  0.7500
Cu  0.2500  0.2500  0.2500
Cu  0.2500  0.7500  0.7500
Cu  0.7500  0.2500  0.7500
Cu  0.7500  0.7500  0.2500
Sn  0.0000  0.0000  0.5000
Sn  0.0000  0.5000  0.0000
Sn  0.5000  0.0000  0.0000
Sn  0.5000  0.5000  0.5000

---

Density functional theory data (PBE) for a relaxed CsAlRh3 crystal.

Values from the calculation:
As for the total energy: -4.70 eV/atom. The calculation puts the mass density at 7.255 Mg/m³.

Lattice parameters (Å, degrees): 4.7513 4.7513 4.7513 90.00 90.00 90.00
Atoms (fractional coordinates):
Cs  0.0000  0.0000  0.0000
Al  0.5000  0.5000  0.5000
Rh  0.0000  0.5000  0.5000
Rh  0.5000  0.0000  0.5000
Rh  0.5000  0.5000  0.0000

---

Density functional theory data (PBE) for a relaxed NaTlVBr2 crystal.

Values from the calculation:
As for the total energy: -2.77 eV/atom. The calculation puts the formation energy without anion corrections at 0.46 eV/atom. The calculation puts the mass density at 3.351 Mg/m³.

Lattice parameters (Å, degrees): 6.1077 6.1077 5.8199 90.00 90.00 90.00
Atoms (fractional coordinates):
Na  0.0000  0.0000  0.0000
Tl  0.0000  0.0000  0.5000
V  0.5000  0.5000  0.0000
Br  0.0000  0.5000  0.5000
Br  0.5000  0.0000  0.5000